This record from the Alexandria database describes crystalline Al2AgSe at its relaxed geometry. The functional is GGA-PBE.

Values from the calculation:
SG: P4mm (99)
Final energy (eV per atom): -3.5332
Calculated volume (Å³/atom): 19.8
Formation energy from raw total energies (eV per atom): -0.078

a = 3.6915 Å, b = 3.6915 Å, c = 5.8172 Å
α = 90.00°, β = 90.00°, γ = 90.00°
Last column: nearest neighbours and their distance in Å.
Element x y z (fractional)
Se (0.0000, 0.0000, 0.3985)  5 Al 2.63-2.67
Al (0.5000, 0.5000, 0.3057)  1 Ag 2.66, 4 Se 2.67
Al (0.0000, 0.0000, 0.9469)  1 Se 2.63, 4 Ag 2.67
Ag (0.5000, 0.5000, 0.8489)  5 Al 2.66-2.67

***

This record from the Alexandria database describes crystalline AlAg9Se6 at its relaxed geometry. The functional is GGA-PBE.

Values from the calculation:
SG: P2_13 (198)
Final energy (eV per atom): -3.3534
Calculated volume (Å³/atom): 22.5
Formation energy from raw total energies (eV per atom): -0.209

a = 11.2846 Å, b = 11.2846 Å, c = 11.2846 Å
α = 90.00°, β = 90.00°, γ = 90.00°
Last column: nearest neighbours and their distance in Å.
Element x y z (fractional)
Ag (0.5304, 0.2754, 0.7701)  3 Se 2.68-2.82
Ag (0.0399, 0.8681, 0.8276)  3 Se 2.71-2.81, 1 Ag 2.96
Ag (0.8642, 0.3224, 0.4329)  3 Se 2.61-2.75
Ag (0.6319, 0.1724, 0.5399)  3 Se 2.71-2.81, 1 Ag 2.96
Ag (0.3276, 0.4601, 0.1319)  3 Se 2.71-2.81, 1 Ag 2.96
Ag (0.3224, 0.4329, 0.8642)  3 Se 2.61-2.75
Ag (0.0304, 0.2246, 0.2299)  3 Se 2.68-2.82
Ag (0.5671, 0.3642, 0.1776)  3 Se 2.61-2.75
Ag (0.5399, 0.6319, 0.1724)  3 Se 2.71-2.81, 1 Ag 2.96
Ag (0.7701, 0.5304, 0.2754)  3 Se 2.68-2.82
Ag (0.3642, 0.1776, 0.5671)  3 Se 2.61-2.75
Ag (0.7754, 0.7299, 0.4696)  3 Se 2.68-2.82
Ag (0.4601, 0.1319, 0.3276)  3 Se 2.71-2.81, 1 Ag 2.96
Ag (0.9329, 0.6358, 0.6776)  3 Se 2.61-2.75
Ag (0.9696, 0.7246, 0.2701)  3 Se 2.68-2.82
Ag (0.8276, 0.0399, 0.8681)  3 Se 2.71-2.81, 1 Ag 2.96
Ag (0.2299, 0.0304, 0.2246)  3 Se 2.68-2.82
Ag (0.8681, 0.8276, 0.0399)  3 Se 2.71-2.81, 1 Ag 2.96
Ag (0.3681, 0.6724, 0.9601)  3 Se 2.71-2.81, 1 Ag 2.96
Ag (0.4329, 0.8642, 0.3224)  3 Se 2.61-2.75
Ag (0.6358, 0.6776, 0.9329)  3 Se 2.61-2.75
Ag (0.8224, 0.0671, 0.1358)  3 Se 2.61-2.75
Ag (0.6724, 0.9601, 0.3681)  3 Se 2.71-2.81, 1 Ag 2.96
Ag (0.1724, 0.5399, 0.6319)  3 Se 2.71-2.81, 1 Ag 2.96
Ag (0.1319, 0.3276, 0.4601)  3 Se 2.71-2.81, 1 Ag 2.96
Ag (0.2754, 0.7701, 0.5304)  3 Se 2.68-2.82
Ag (0.7246, 0.2701, 0.9696)  3 Se 2.68-2.82
Ag (0.0671, 0.1358, 0.8224)  3 Se 2.61-2.75
Ag (0.6776, 0.9329, 0.6358)  3 Se 2.61-2.75
Ag (0.7299, 0.4696, 0.7754)  3 Se 2.68-2.82
Ag (0.2246, 0.2299, 0.0304)  3 Se 2.68-2.82
Ag (0.4696, 0.7754, 0.7299)  3 Se 2.68-2.82
Ag (0.1776, 0.5671, 0.3642)  3 Se 2.61-2.75
Ag (0.9601, 0.3681, 0.6724)  3 Se 2.71-2.81, 1 Ag 2.96
Ag (0.2701, 0.9696, 0.7246)  3 Se 2.68-2.82
Ag (0.1358, 0.8224, 0.0671)  3 Se 2.61-2.75
Se (0.8684, 0.0989, 0.3731)  1 Al 2.41, 1 Ag 2.61
Se (0.6318, 0.6318, 0.6318)  1 Al 2.38
Se (0.4011, 0.6269, 0.3684)  1 Al 2.41, 1 Ag 2.61
Se (0.0221, 0.0221, 0.0221)  6 Ag 2.64-2.81
Se (0.2628, 0.2628, 0.2628)  6 Ag 2.68-2.77
Se (0.1318, 0.8682, 0.3682)  1 Al 2.38
Se (0.7628, 0.2372, 0.7372)  6 Ag 2.68-2.77
Se (0.9779, 0.5221, 0.4779)  6 Ag 2.64-2.81
Se (0.3684, 0.4011, 0.6269)  1 Al 2.41, 1 Ag 2.61
Se (0.9011, 0.8731, 0.6316)  1 Al 2.41, 1 Ag 2.61
Se (0.4779, 0.9779, 0.5221)  6 Ag 2.64-2.81
Se (0.5989, 0.1269, 0.1316)  1 Al 2.41, 1 Ag 2.61
Se (0.3682, 0.1318, 0.8682)  1 Al 2.38
Se (0.2372, 0.7372, 0.7628)  6 Ag 2.68-2.77
Se (0.5221, 0.4779, 0.9779)  6 Ag 2.64-2.81
Se (0.8731, 0.6316, 0.9011)  1 Al 2.41, 1 Ag 2.61
Se (0.6316, 0.9011, 0.8731)  1 Al 2.41, 1 Ag 2.61
Se (0.0989, 0.3731, 0.8684)  1 Al 2.41, 1 Ag 2.61
Se (0.7372, 0.7628, 0.2372)  6 Ag 2.68-2.77
Se (0.3731, 0.8684, 0.0989)  1 Al 2.41, 1 Ag 2.61
Se (0.1316, 0.5989, 0.1269)  1 Al 2.41, 1 Ag 2.61
Se (0.6269, 0.3684, 0.4011)  1 Al 2.41, 1 Ag 2.61
Se (0.1269, 0.1316, 0.5989)  1 Al 2.41, 1 Ag 2.61
Se (0.8682, 0.3682, 0.1318)  1 Al 2.38
Al (0.0101, 0.9899, 0.4899)  4 Se 2.38-2.41
Al (0.5101, 0.5101, 0.5101)  4 Se 2.38-2.41
Al (0.9899, 0.4899, 0.0101)  4 Se 2.38-2.41
Al (0.4899, 0.0101, 0.9899)  4 Se 2.38-2.41

***

This record from the Alexandria database describes crystalline Al2AgSe at its relaxed geometry. The functional is GGA-PBE.

Values from the calculation:
SG: Pm (6)
Final energy (eV per atom): -3.5202
Calculated volume (Å³/atom): 20.8
Formation energy from raw total energies (eV per atom): -0.065

a = 3.5009 Å, b = 4.5733 Å, c = 5.4921 Å
α = 71.09°, β = 90.00°, γ = 90.00°
Last column: nearest neighbours and their distance in Å.
Element x y z (fractional)
Al (0.0000, 0.9305, 0.0643)  1 Se 2.54, 2 Ag 2.70, 2 Al 2.78
Al (0.5000, 0.3238, 0.2021)  2 Se 2.55, 1 Ag 2.63, 2 Al 2.78
Ag (0.5000, 0.7706, 0.7557)  3 Al 2.63-2.70, 2 Se 2.92
Se (0.0000, 0.4751, 0.4779)  3 Al 2.54-2.55

***

This record from the Alexandria database describes crystalline AlAgSe2 at its relaxed geometry. The functional is GGA-PBE.

Values from the calculation:
SG: Imm2 (44)
Final energy (eV per atom): -3.6273
Calculated volume (Å³/atom): 20.9
Formation energy from raw total energies (eV per atom): -0.237

a = 7.1174 Å, b = 7.1174 Å, c = 7.1174 Å
α = 151.68°, β = 150.60°, γ = 41.27°
Last column: nearest neighbours and their distance in Å.
Element x y z (fractional)
Se (0.7848, 0.2848, 0.5000)  4 Al 2.75, 2 Ag 2.89
Se (0.0603, 0.0603, 0.0000)  2 Al 2.55
Ag (0.4545, 0.4545, 0.0000)  6 Se 2.88-2.89
Al (0.2004, 0.7004, 0.5000)  6 Se 2.55-2.75

***

This record from the Alexandria database describes crystalline Sm2AlAgSe5 at its relaxed geometry. The functional is GGA-PBE.

Values from the calculation:
SG: Cmc2_1 (36)
Final energy (eV per atom): -4.9747
Calculated volume (Å³/atom): 24.1
Formation energy from raw total energies (eV per atom): -1.257

a = 4.0133 Å, b = 9.3627 Å, c = 11.8064 Å
α = 90.00°, β = 90.00°, γ = 102.38°
Last column: nearest neighbours and their distance in Å.
Element x y z (fractional)
Se (0.6332, 0.2664, 0.4957)  1 Ag 2.65
Se (0.4970, 0.9940, 0.2803)  1 Al 2.42
Se (0.3165, 0.6330, 0.3489)  1 Al 2.39
Se (0.3668, 0.7336, 0.9957)  1 Ag 2.65
Se (0.2908, 0.5816, 0.6788)  2 Ag 2.76, 2 Sm 2.89
Se (0.7092, 0.4184, 0.1788)  2 Ag 2.76, 2 Sm 2.89
Se (0.0416, 0.0832, 0.0649)  2 Al 2.45
Se (0.9584, 0.9168, 0.5649)  2 Al 2.45
Se (0.6835, 0.3670, 0.8489)  1 Al 2.39
Se (0.5030, 0.0060, 0.7803)  1 Al 2.42
Al (0.5721, 0.1442, 0.9553)  4 Se 2.39-2.45
Al (0.4279, 0.8558, 0.4553)  4 Se 2.39-2.45
Sm (0.1178, 0.2355, 0.6807)  8 Se 2.98-3.22
Sm (0.8822, 0.7645, 0.1807)  8 Se 2.98-3.22
Sm (0.8741, 0.7482, 0.7991)  7 Se 2.89-3.17
Sm (0.1259, 0.2518, 0.2991)  7 Se 2.89-3.17
Ag (0.7774, 0.5548, 0.5202)  5 Se 2.65-2.94
Ag (0.2226, 0.4452, 0.0202)  5 Se 2.65-2.94

***

This record from the Alexandria database describes crystalline Sm3AlAg3Se8 at its relaxed geometry. The functional is GGA-PBE.

Values from the calculation:
SG: C2/m (12)
Final energy (eV per atom): -4.6408
Calculated volume (Å³/atom): 25.8
Formation energy from raw total energies (eV per atom): -1.019

a = 8.3653 Å, b = 8.3629 Å, c = 8.0201 Å
α = 121.59°, β = 90.00°, γ = 120.01°
Last column: nearest neighbours and their distance in Å.
Element x y z (fractional)
Sm (0.5000, 0.5000, 0.5000)  6 Se 2.89-2.96
Sm (0.5000, 0.0000, 0.5000)  6 Se 2.89-2.96
Sm (0.0000, 0.5000, 0.5000)  6 Se 2.89-2.96
Se (0.2189, 0.9917, 0.2656)  1 Al 2.62, 2 Ag 2.84-2.86
Se (0.7811, 0.0083, 0.7344)  1 Al 2.62, 2 Ag 2.84-2.86
Se (0.2272, 0.0083, 0.7344)  1 Al 2.62, 2 Ag 2.84-2.86
Se (0.2501, 0.5003, 0.2515)  3 Sm 2.89, 3 Ag 2.89-2.90
Se (0.2271, 0.4542, 0.7343)  1 Al 2.62, 2 Ag 2.86
Se (0.7499, 0.4997, 0.7485)  3 Sm 2.89, 3 Ag 2.89-2.90
Se (0.7728, 0.9917, 0.2656)  1 Al 2.62, 2 Ag 2.84-2.86
Se (0.7729, 0.5458, 0.2657)  1 Al 2.62, 2 Ag 2.86
Ag (0.5000, 0.5000, 0.0000)  6 Se 2.84-2.90
Ag (0.0000, 0.5000, 0.0000)  6 Se 2.84-2.90
Ag (0.0000, 0.0000, 0.0000)  6 Se 2.86-2.89
Al (0.0000, 0.0000, 0.5000)  6 Se 2.62

***

| no. | spin magnetization (μB/f.u.) |
| --- | --- |
| 1 | 0.00 |
| 2 | 0.00 |
| 3 | 0.00 |
| 4 | 0.00 |
| 5 | 0.00 |
| 6 | 0.00 |